(1)
A plane-wave DFT calculation with GGA-PBE was carried out for crystalline CoPtBr6 at its relaxed geometry.

The total magnetic moment is 3.00 μB per cell. As for the calculated total energy: -3.068 eV/atom. The volume is 199.6 Å³ per cell. Its symmetry is R-3. Its crystal system is trigonal.

Lattice parameters (Å, degrees): 6.8170 6.8170 6.8170 55.30 55.30 55.30
Atoms (fractional coordinates):
Co (0.0000, 0.0000, 0.0000)
Pt (0.5000, 0.5000, 0.5000)
Br (0.0885, 0.7482, 0.4127)
Br (0.2518, 0.5873, 0.9115)
Br (0.4127, 0.0885, 0.7482)
Br (0.5873, 0.9115, 0.2518)
Br (0.7482, 0.4127, 0.0885)
Br (0.9115, 0.2518, 0.5873)



(2)
A plane-wave DFT calculation with GGA-PBE was carried out for crystalline RbCo2Br5 at its relaxed geometry.

The total magnetic moment is 12.00 μB per cell. As for the calculated total energy: -3.347 eV/atom. The volume is 520.6 Å³ per cell. Its symmetry is I4/mcm. Its crystal system is tetragonal.

Lattice parameters (Å, degrees): 9.8376 9.8376 9.8376 131.65 131.65 70.78
Atoms (fractional coordinates):
Rb (0.2500, 0.2500, 0.0000)
Rb (0.7500, 0.7500, 0.0000)
Co (0.2188, 0.7188, 0.9376)
Co (0.2812, 0.2188, 0.5000)
Co (0.7188, 0.7812, 0.5000)
Co (0.7812, 0.2812, 0.0624)
Br (0.0000, 0.0000, 0.0000)
Br (0.0251, 0.5251, 0.8238)
Br (0.2013, 0.0251, 0.5000)
Br (0.2987, 0.7987, 0.8238)
Br (0.4749, 0.2987, 0.5000)
Br (0.5000, 0.5000, 0.0000)
Br (0.5251, 0.7013, 0.5000)
Br (0.7013, 0.2013, 0.1762)
Br (0.7987, 0.9749, 0.5000)
Br (0.9749, 0.4749, 0.1762)



(3)
A plane-wave DFT calculation with GGA-PBE was carried out for crystalline Rb2CoBr4 at its relaxed geometry.

The total magnetic moment is 12.02 μB per cell. As for the calculated total energy: -3.402 eV/atom. The volume is 1016.8 Å³ per cell. Its symmetry is Pnma. Its crystal system is orthorhombic.

Lattice parameters (Å, degrees): 9.8373 7.6626 13.4894 90.00 90.00 90.00
Atoms (fractional coordinates):
Rb (0.0132, 0.2500, 0.1700)
Rb (0.1245, 0.7500, 0.4093)
Rb (0.3755, 0.2500, 0.9093)
Rb (0.4868, 0.7500, 0.6700)
Rb (0.5132, 0.2500, 0.3300)
Rb (0.6245, 0.7500, 0.0907)
Rb (0.8755, 0.2500, 0.5907)
Rb (0.9868, 0.7500, 0.8300)
Co (0.2264, 0.7500, 0.0778)
Co (0.2736, 0.2500, 0.5778)
Co (0.7264, 0.7500, 0.4222)
Co (0.7736, 0.2500, 0.9222)
Br (0.0166, 0.2500, 0.9115)
Br (0.1777, 0.2500, 0.4136)
Br (0.1837, 0.5033, 0.6576)
Br (0.1837, 0.9967, 0.6576)
Br (0.3163, 0.0033, 0.1576)
Br (0.3163, 0.4967, 0.1576)
Br (0.3223, 0.7500, 0.9136)
Br (0.4834, 0.7500, 0.4115)
Br (0.5166, 0.2500, 0.5885)
Br (0.6777, 0.2500, 0.0864)
Br (0.6837, 0.5033, 0.8424)
Br (0.6837, 0.9967, 0.8424)
Br (0.8163, 0.0033, 0.3424)
Br (0.8163, 0.4967, 0.3424)
Br (0.8223, 0.7500, 0.5864)
Br (0.9834, 0.7500, 0.0885)



(4)
A plane-wave DFT calculation with GGA-PBE was carried out for crystalline Sc7CoBr12 at its relaxed geometry.

The total magnetic moment is 0.00 μB per cell. As for the calculated total energy: -5.045 eV/atom. The volume is 551.8 Å³ per cell. Its symmetry is R-3. Its crystal system is trigonal.

Lattice parameters (Å, degrees): 8.7247 8.7247 8.7247 107.09 107.09 107.09
Atoms (fractional coordinates):
Sc (0.0000, 0.0000, 0.0000)
Sc (0.2008, 0.4756, 0.4046)
Sc (0.4046, 0.2008, 0.4756)
Sc (0.4756, 0.4046, 0.2008)
Sc (0.5244, 0.5954, 0.7992)
Sc (0.5954, 0.7992, 0.5244)
Sc (0.7992, 0.5244, 0.5954)
Co (0.5000, 0.5000, 0.5000)
Br (0.0407, 0.1148, 0.3371)
Br (0.1148, 0.3371, 0.0407)
Br (0.1815, 0.5703, 0.7215)
Br (0.2785, 0.8185, 0.4297)
Br (0.3371, 0.0407, 0.1148)
Br (0.4297, 0.2785, 0.8185)
Br (0.5703, 0.7215, 0.1815)
Br (0.6629, 0.9593, 0.8852)
Br (0.7215, 0.1815, 0.5703)
Br (0.8185, 0.4297, 0.2785)
Br (0.8852, 0.6629, 0.9593)
Br (0.9593, 0.8852, 0.6629)



(5)
A plane-wave DFT calculation with GGA-PBE was carried out for crystalline ThCoBr at its relaxed geometry.

The total magnetic moment is 0.01 μB per cell. As for the calculated total energy: -6.343 eV/atom. The volume is 163.8 Å³ per cell. Its symmetry is C2/m. Its crystal system is monoclinic.

Lattice parameters (Å, degrees): 3.9575 3.9575 12.1585 95.79 95.79 59.99
Atoms (fractional coordinates):
Th (0.0375, 0.0375, 0.1574)
Th (0.9625, 0.9625, 0.8426)
Co (0.3327, 0.3327, 0.9969)
Co (0.6673, 0.6673, 0.0031)
Br (0.2595, 0.2595, 0.6657)
Br (0.7405, 0.7405, 0.3343)



(6)
A plane-wave DFT calculation with GGA-PBE was carried out for crystalline YTmCo2Br2 at its relaxed geometry.

The total magnetic moment is 0.51 μB per cell. As for the calculated total energy: -5.770 eV/atom. The volume is 145.3 Å³ per cell. Its symmetry is P3m1. Its crystal system is trigonal.

Lattice parameters (Å, degrees): 3.8771 3.8771 11.1640 90.00 90.00 120.00
Atoms (fractional coordinates):
Y (0.0000, 0.0000, 0.0000)
Tm (0.0000, 0.0000, 0.3303)
Co (0.3333, 0.6667, 0.1621)
Co (0.6667, 0.3333, 0.1745)
Br (0.3333, 0.6667, 0.5001)
Br (0.6667, 0.3333, 0.8272)



Which of these has the lowest calculated total energy?
ThCoBr



calculated total energy of number 5 (ThCoBr)?
-6.343 eV/atom



What is the total magnetic moment in the fifth record?
0.01 μB per cell